[1]
CaPt3N | SCAN | single point on PBEsol structure

Cell: 4.2395 4.2395 4.2395 Å, 90.00 90.00 90.00°
Fractional positions:
Pt 0.0000 0.0000 0.5000
Pt 0.0000 0.5000 0.0000
Ca 0.5000 0.5000 0.5000
N 0.0000 0.0000 0.0000
Pt 0.5000 0.0000 0.0000

## Properties
Fermi-level density of states: 3.6 states/eV/cell
total DFT energy (no corrections): -45.96 eV per atom
magnetic moment: 0.00 μB per atom
energy relative to the elements, uncorrected: -56 meV/atom



[2]
BaMgRu | SCAN | single point on PBEsol structure

Cell: 3.4539 3.4539 7.3067 Å, 90.00 90.00 120.00°
Fractional positions:
Mg 0.6667 0.3333 0.5927
Ru 0.3333 0.6667 0.3531
Ba 0.0000 0.0000 0.0542

## Properties
Fermi-level density of states: 2.6 states/eV/cell
total DFT energy (no corrections): -25.80 eV per atom
magnetic moment: 0.00 μB per atom
energy relative to the elements: 0.65 eV/atom



[3]
LiAuSe2 | SCAN | single point on PBEsol structure

Cell: 4.4030 4.8896 4.4030 Å, 116.76 90.00 116.76°
Fractional positions:
Li 0.0000 0.0000 0.0000
Se 0.7500 0.5000 0.2500
Au 0.5000 0.0000 0.5000
Se 0.2500 0.5000 0.7500

## Properties
Fermi-level density of states: 1.7 states/eV/cell
total DFT energy (no corrections): -27.99 eV per atom
magnetic moment: 0.00 μB per atom
energy relative to the elements, uncorrected: -63 meV/atom



[4]
MgAl2Os | SCAN | single point on PBEsol structure

Cell: 2.7975 5.0927 5.0927 Å, 115.51 101.71 101.71°
Last column: magnetic moment on the atom in μB.
Fractional positions:
Mg 0.5000 0.5000 0.5000  0.00
Al 0.0000 0.0000 0.5000  -0.01
Al 0.0000 0.5000 0.0000  -0.01
Os 0.5000 0.0000 0.0000  0.55

## Properties
Fermi-level density of states: 1.9 states/eV/cell
total DFT energy (no corrections): -23.12 eV per atom
magnetic moment: 0.15 μB per atom
energy relative to the elements: -0.03 eV/atom



[5]
BeNiAg | SCAN | single point on PBEsol structure

Cell: 2.7043 2.7043 5.0557 Å, 105.51 105.51 90.00°
Fractional positions:
Be 0.3130 0.3130 0.6260
Ni 0.6957 0.6957 0.3915
Ag 0.9913 0.9913 0.9825

## Properties
Fermi-level density of states: 0.8 states/eV/cell
total DFT energy (no corrections): -17.37 eV per atom
magnetic moment: 0.00 μB per atom
energy relative to the elements: -0.07 eV/atom



[6]
TiMo2RuPb | SCAN | single point on PBEsol structure

Cell: 4.4211 4.4211 5.0304 Å, 90.00 90.00 90.00°
Last column: magnetic moment on the atom in μB.
Fractional positions:
Ru 0.5000 0.5000 0.5000  1.63
Mo 0.5000 0.0000 0.0000  0.24
Mo 0.0000 0.5000 0.0000  0.24
Ti 0.0000 0.0000 0.0000  0.02
Pb 0.0000 0.0000 0.5000  -0.04

## Properties
Fermi-level density of states: 5.5 states/eV/cell
total DFT energy (no corrections): -37.51 eV per atom
magnetic moment: 0.42 μB per atom
energy relative to the elements: 1.77 eV/atom



[7]
AgMoRh2 | SCAN | single point on PBEsol structure

Cell: 3.7826 3.7826 4.8471 Å, 112.97 112.97 90.00°
Fractional positions:
Rh 0.2500 0.7500 0.5000
Mo 0.7500 0.2500 0.5000
Rh 0.0000 0.0000 0.0000
Ag 0.5000 0.5000 0.0000

## Properties
Fermi-level density of states: 3.4 states/eV/cell
total DFT energy (no corrections): -33.27 eV per atom
magnetic moment: 0.00 μB per atom
energy relative to the elements: 0.18 eV/atom



[8]
Zr3BAs | SCAN | single point on PBEsol structure

Cell: 4.8702 4.8702 4.8702 Å, 90.00 90.00 90.00°
Fractional positions:
Zr 0.0000 0.0000 0.5000
As 0.0000 0.0000 0.0000
B 0.5000 0.5000 0.5000
Zr 0.0000 0.5000 0.0000
Zr 0.5000 0.0000 0.0000

## Properties
Fermi-level density of states: 4.3 states/eV/cell
total DFT energy (no corrections): -23.14 eV per atom
magnetic moment: 0.00 μB per atom
energy relative to the elements: 0.80 eV/atom